# SmMgZrOs, relaxed, DFT PBE
data_SmMgZrOs
_cell_length_a 6.974
_cell_length_b 6.974
_cell_length_c 6.974
_cell_angle_alpha 90.00
_cell_angle_beta 90.00
_cell_angle_gamma 90.00
_symmetry_space_group_name_H-M 'F -4 3 m'
_symmetry_Int_Tables_number 216
_symmetry_space_group_name_Hall 'F -4 2 3'
loop_
_atom_site_label
_atom_site_type_symbol
_atom_site_fract_x
_atom_site_fract_y
_atom_site_fract_z
_atom_site_occupancy
Sm1 Sm 0.000 0.000 0.000 1
Mg1 Mg 0.250 0.250 0.250 1
Zr1 Zr 0.000 0.000 0.500 1
Os1 Os 0.250 0.250 0.750 1
# E_tot ... -105.1 eV per cell
# Energy relative to the elements ... -0.048 eV/atom
# Magnetic moment ... 0.00 μB/f.u.
# ρ ... 8.93 g/cm³

---

# ReAsRuPt2, relaxed, DFT PBE
data_ReAsRuPt2
_cell_length_a 4.842
_cell_length_b 4.842
_cell_length_c 4.586
_cell_angle_alpha 90.00
_cell_angle_beta 90.00
_cell_angle_gamma 90.00
_symmetry_space_group_name_H-M 'P 4/m m m'
_symmetry_Int_Tables_number 123
_symmetry_space_group_name_Hall '-P 4 2'
loop_
_atom_site_label
_atom_site_type_symbol
_atom_site_fract_x
_atom_site_fract_y
_atom_site_fract_z
_atom_site_occupancy
Re1 Re 0.000 0.000 0.000 1
As1 As 0.500 0.500 0.000 1
Ru1 Ru 0.000 0.000 0.500 1
Pt1 Pt 0.000 0.500 0.500 1
# E_tot ... -30.2 eV per cell
# Energy relative to the elements ... 1.660 eV/atom
# Magnetic moment ... 1.17 μB/f.u.
# ρ ... 11.62 g/cm³

---

# KCd2Sn2, relaxed, DFT PBE
data_KCd2Sn2
_cell_length_a 4.939
_cell_length_b 4.939
_cell_length_c 12.377
_cell_angle_alpha 90.00
_cell_angle_beta 90.00
_cell_angle_gamma 90.00
_symmetry_space_group_name_H-M 'I 4/m m m'
_symmetry_Int_Tables_number 139
_symmetry_space_group_name_Hall '-I 4 2'
loop_
_atom_site_label
_atom_site_type_symbol
_atom_site_fract_x
_atom_site_fract_y
_atom_site_fract_z
_atom_site_occupancy
K1 K 0.000 0.000 0.000 1
Cd1 Cd 0.000 0.500 0.250 1
Sn1 Sn 0.000 0.000 0.383 1
# E_tot ... -23.5 eV per cell
# Energy relative to the elements ... -0.165 eV/atom
# Magnetic moment ... 0.00 μB/f.u.
# ρ ... 5.51 g/cm³

---

# MgSb2Te, relaxed, DFT PBE
data_MgSb2Te
_cell_length_a 5.628
_cell_length_b 5.628
_cell_length_c 6.782
_cell_angle_alpha 90.00
_cell_angle_beta 90.00
_cell_angle_gamma 90.00
_symmetry_space_group_name_H-M 'I -4 m 2'
_symmetry_Int_Tables_number 119
_symmetry_space_group_name_Hall 'I -4 -2'
loop_
_atom_site_label
_atom_site_type_symbol
_atom_site_fract_x
_atom_site_fract_y
_atom_site_fract_z
_atom_site_occupancy
Mg1 Mg 0.000 0.000 0.000 1
Sb1 Sb 0.000 0.000 0.500 1
Sb2 Sb 0.000 0.500 0.750 1
Te1 Te 0.000 0.500 0.250 1
# E_tot ... -25.6 eV per cell
# Magnetic moment ... 0.00 μB/f.u.
# ρ ... 6.11 g/cm³

---

# TlAgTeN2, relaxed, DFT PBE
data_TlAgTeN2
_cell_length_a 4.353
_cell_length_b 4.353
_cell_length_c 5.898
_cell_angle_alpha 90.00
_cell_angle_beta 90.00
_cell_angle_gamma 90.00
_symmetry_space_group_name_H-M 'P 4/m m m'
_symmetry_Int_Tables_number 123
_symmetry_space_group_name_Hall '-P 4 2'
loop_
_atom_site_label
_atom_site_type_symbol
_atom_site_fract_x
_atom_site_fract_y
_atom_site_fract_z
_atom_site_occupancy
Tl1 Tl 0.000 0.000 0.000 1
Ag1 Ag 0.500 0.500 0.500 1
Te1 Te 0.500 0.500 0.000 1
N1 N 0.000 0.500 0.500 1
# E_tot ... -17.0 eV per cell
# Magnetic moment ... 3.50 μB/f.u.
# ρ ... 6.95 g/cm³

---

# Mg6NbZn, relaxed, DFT PBE
data_Mg6NbZn
_cell_length_a 4.870
_cell_length_b 6.062
_cell_length_c 10.946
_cell_angle_alpha 90.00
_cell_angle_beta 90.00
_cell_angle_gamma 90.00
_symmetry_space_group_name_H-M 'A m m 2'
_symmetry_Int_Tables_number 38
_symmetry_space_group_name_Hall 'A 2 -2'
loop_
_atom_site_label
_atom_site_type_symbol
_atom_site_fract_x
_atom_site_fract_y
_atom_site_fract_z
_atom_site_occupancy
Mg1 Mg 0.000 0.000 0.000 1
Mg2 Mg 0.000 0.000 0.494 1
Mg3 Mg 0.000 0.242 0.758 1
Mg4 Mg 0.500 0.249 0.096 1
Nb1 Nb 0.500 0.000 0.848 1
Zn1 Zn 0.500 0.000 0.340 1
# E_tot ... -39.8 eV per cell
# Energy relative to the elements ... 0.125 eV/atom
# Magnetic moment ... 0.00 μB/f.u.
# ρ ... 3.13 g/cm³